No. 1
A relaxed structure of InOsPt2, computed with PBE-GGA.

Summary:
DOS(E_F) = 3.83 states/eV/f.u.
Total energy = -6.461 eV per atom
Magnetization = 0.00 Bohr magnetons per cell
ΔE_f = 0.21 eV per formula unit

Cell: 6.344 4.931 2.832 Å, 89.95 63.58 121.03°
Sites, in units of the cell vectors:
In 0.000 0.500 0.500
Os 0.500 0.500 0.000
Pt 0.000 0.000 0.000
Pt 0.500 0.000 0.500

No. 2
A relaxed structure of InOsPt2, computed with PBE-GGA.

Summary:
DOS(E_F) = 4.44 states/eV/f.u.
Total energy = -6.245 eV per atom
Magnetization = 1.60 Bohr magnetons per cell
ΔE_f = 1.07 eV per formula unit

Cell: 4.545 4.545 4.545 Å, 60.00 60.00 60.00°
Last column: magnetic moment on the atom in μB.
Sites, in units of the cell vectors:
In 0.500 0.500 0.500  -0.01
Os 0.250 0.250 0.250  1.07
Pt 0.000 0.000 0.000  0.32
Pt 0.750 0.750 0.750  0.18

No. 3
A relaxed structure of InOsPt2, computed with PBE-GGA.

Summary:
DOS(E_F) = 3.54 states/eV/f.u.
Total energy = -6.448 eV per atom
Magnetization = 0.00 Bohr magnetons per cell
ΔE_f = 0.26 eV per formula unit

Cell: 4.890 4.890 5.009 Å, 79.25 79.25 33.90°
Sites, in units of the cell vectors:
In 0.504 0.504 0.512
Os 0.249 0.249 0.218
Pt 0.993 0.993 0.023
Pt 0.753 0.753 0.747

No. 4
A relaxed structure of InOsPt2, computed with PBE-GGA.

Summary:
DOS(E_F) = 5.75 states/eV/f.u.
Total energy = -6.255 eV per atom
Magnetization = 0.67 Bohr magnetons per cell
ΔE_f = 1.03 eV per formula unit

Cell: 5.565 5.565 5.565 Å, 149.97 128.70 60.60°
Last column: magnetic moment on the atom in μB.
Sites, in units of the cell vectors:
In 0.750 0.250 0.500  -0.01
Os 0.250 0.750 0.500  0.48
Pt 0.009 0.009 0.000  0.09
Pt 0.491 0.491 0.000  0.09

No. 5
A relaxed structure of InOsPt4, computed with PBE-GGA.

Summary:
DOS(E_F) = 7.64 states/eV/f.u.
Total energy = -5.946 eV per atom
Magnetization = 1.58 Bohr magnetons per cell
ΔE_f = 2.45 eV per formula unit

Cell: 5.266 5.266 5.266 Å, 60.00 60.00 60.00°
Last column: magnetic moment on the atom in μB.
Sites, in units of the cell vectors:
In 0.750 0.750 0.750  -0.04
Os 0.000 0.000 0.000  1.34
Pt 0.877 0.374 0.374  0.06
Pt 0.374 0.374 0.877  0.06
Pt 0.374 0.877 0.374  0.06
Pt 0.374 0.374 0.374  0.06

No. 6
A relaxed structure of InOsPt2, computed with PBE-GGA.

Summary:
DOS(E_F) = 4.70 states/eV/f.u.
Total energy = -6.321 eV per atom
Magnetization = 0.00 Bohr magnetons per cell
ΔE_f = 0.77 eV per formula unit

Cell: 9.185 9.185 9.185 Å, 18.16 18.16 18.16°
Sites, in units of the cell vectors:
In 0.500 0.500 0.500
Os 0.747 0.747 0.747
Pt 0.002 0.002 0.002
Pt 0.250 0.250 0.250

No. 7
A relaxed structure of InOs3Pt, computed with PBE-GGA.

Summary:
DOS(E_F) = 11.62 states/eV/f.u.
Total energy = -6.152 eV per atom
Magnetization = 2.45 Bohr magnetons per cell
ΔE_f = 11.71 eV per formula unit

Cell: 4.782 4.782 4.782 Å, 90.00 90.00 90.00°
Last column: magnetic moment on the atom in μB.
Sites, in units of the cell vectors:
Os 0.000 0.500 0.000  0.70
Os 0.000 0.000 0.500  1.03
Os 0.500 0.000 0.000  0.47
Pt 0.000 0.000 0.000  0.12
In 0.500 0.500 0.500  0.01

No. 8
A relaxed structure of In3OsPt, computed with PBE-GGA.

Summary:
DOS(E_F) = 4.03 states/eV/f.u.
Total energy = -4.415 eV per atom
Magnetization = 0.00 Bohr magnetons per cell
ΔE_f = 3.41 eV per formula unit

Cell: 5.084 5.084 5.084 Å, 90.00 90.00 90.00°
Sites, in units of the cell vectors:
Os 0.000 0.000 0.000
Pt 0.500 0.500 0.500
In 0.000 0.500 0.000
In 0.000 0.000 0.500
In 0.500 0.000 0.000

No. 9
A relaxed structure of InSi2OsPt, computed with PBE-GGA.

Summary:
DOS(E_F) = 3.39 states/eV/f.u.
Total energy = -5.730 eV per atom
Raw formation energy = 0.44 eV/atom
Magnetization = 0.00 Bohr magnetons per cell

Cell: 4.479 5.287 4.479 Å, 90.00 90.00 90.00°
Sites, in units of the cell vectors:
Si 0.000 0.000 0.500
Si 0.500 0.000 0.000
Os 0.000 0.000 0.000
Pt 0.000 0.500 0.000
In 0.500 0.500 0.500

No. 10
A relaxed structure of ZrInOsPt, computed with PBE-GGA.

Summary:
DOS(E_F) = 3.21 states/eV/f.u.
Total energy = -7.509 eV per atom
Magnetization = 0.00 Bohr magnetons per cell
ΔE_f = -1.48 eV per formula unit

Cell: 4.663 4.663 4.663 Å, 60.00 60.00 60.00°
Sites, in units of the cell vectors:
Os 0.500 0.500 0.500
Zr 0.750 0.750 0.750
Pt 0.000 0.000 0.000
In 0.250 0.250 0.250

No. 11
A relaxed structure of PuInOs, computed with PBE-GGA.

Summary:
DOS(E_F) = 7.99 states/eV/f.u.
Total energy = -9.357 eV per atom
Magnetization = 9.03 Bohr magnetons per cell
ΔE_f = 0.23 eV per formula unit

Cell: 4.313 5.737 6.362 Å, 116.80 109.82 90.00°
Last column: magnetic moment on the atom in μB.
Sites, in units of the cell vectors:
Os 0.875 0.375 0.750  -0.58
Os 0.125 0.625 0.250  -0.58
In 0.500 0.753 0.000  0.01
In 0.500 0.247 0.000  0.01
Pu 0.206 0.206 0.412  4.84
Pu 0.794 0.794 0.588  4.84

No. 12
A relaxed structure of SmPuInOs, computed with PBE-GGA.

Summary:
DOS(E_F) = 6.87 states/eV/f.u.
Total energy = -8.419 eV per atom
Magnetization = 4.66 Bohr magnetons per cell
ΔE_f = -0.66 eV per formula unit

Cell: 3.325 3.325 8.624 Å, 90.00 90.00 90.00°
Last column: magnetic moment on the atom in μB.
Sites, in units of the cell vectors:
Sm 0.500 0.500 0.779  0.08
Pu 0.500 0.500 0.367  4.97
In 0.000 0.000 0.076  -0.06
Os 0.000 0.000 0.562  -0.46

No. 13
A relaxed structure of TbPuInOs, computed with PBE-GGA.

Summary:
DOS(E_F) = 6.52 states/eV/f.u.
Total energy = -8.445 eV per atom
Magnetization = 4.65 Bohr magnetons per cell
ΔE_f = -0.85 eV per formula unit

Cell: 3.304 3.304 8.532 Å, 90.00 90.00 90.00°
Last column: magnetic moment on the atom in μB.
Sites, in units of the cell vectors:
Tb 0.500 0.500 0.778  0.07
Pu 0.500 0.500 0.366  4.98
In 0.000 0.000 0.072  -0.07
Os 0.000 0.000 0.568  -0.44

No. 14
A relaxed structure of TbPuInOs, computed with PBE-GGA.

Summary:
DOS(E_F) = 8.26 states/eV/f.u.
Total energy = -8.264 eV per atom
Magnetization = 4.93 Bohr magnetons per cell
ΔE_f = -0.12 eV per formula unit

Cell: 5.052 5.052 5.052 Å, 60.00 60.00 60.00°
Last column: magnetic moment on the atom in μB.
Sites, in units of the cell vectors:
Tb 0.250 0.250 0.250  0.04
In 0.000 0.000 0.000  0.00
Os 0.500 0.500 0.500  -0.44
Pu 0.750 0.750 0.750  5.11

No. 15
A relaxed structure of TmPuInOs, computed with PBE-GGA.

Summary:
DOS(E_F) = 6.00 states/eV/f.u.
Total energy = -8.448 eV per atom
Magnetization = 4.62 Bohr magnetons per cell
ΔE_f = -1.02 eV per formula unit

Cell: 3.282 3.282 8.425 Å, 90.00 90.00 90.00°
Last column: magnetic moment on the atom in μB.
Sites, in units of the cell vectors:
Tm 0.500 0.500 0.778  0.03
Pu 0.500 0.500 0.365  4.97
In 0.000 0.000 0.067  -0.07
Os 0.000 0.000 0.574  -0.42

No. 16
A relaxed structure of TmPuInOs, computed with PBE-GGA.

Summary:
DOS(E_F) = 7.97 states/eV/f.u.
Total energy = -8.256 eV per atom
Magnetization = 4.92 Bohr magnetons per cell
ΔE_f = -0.25 eV per formula unit

Cell: 5.010 5.010 5.010 Å, 60.00 60.00 60.00°
Last column: magnetic moment on the atom in μB.
Sites, in units of the cell vectors:
In 0.500 0.500 0.500  0.00
Tm 0.750 0.750 0.750  0.04
Os 0.000 0.000 0.000  -0.41
Pu 0.250 0.250 0.250  5.08

No. 17
A relaxed structure of RbInOs3, computed with PBE-GGA.

Summary:
DOS(E_F) = 5.54 states/eV/f.u.
Total energy = -4.765 eV per atom
Magnetization = 5.86 Bohr magnetons per cell
ΔE_f = 13.57 eV per formula unit

Cell: 5.088 5.088 5.088 Å, 90.00 90.00 90.00°
Last column: magnetic moment on the atom in μB.
Sites, in units of the cell vectors:
Os 0.000 0.500 0.000  1.88
Os 0.000 0.000 0.500  1.96
Os 0.500 0.000 0.000  1.52
Rb 0.500 0.500 0.500  0.01
In 0.000 0.000 0.000  -0.06

No. 18
A relaxed structure of RbIn3Os, computed with PBE-GGA.

Summary:
DOS(E_F) = 0.02 states/eV/f.u.
Total energy = -4.092 eV per atom
Magnetization = 0.00 Bohr magnetons per cell
ΔE_f = -0.05 eV per formula unit

Cell: 5.281 5.281 5.281 Å, 90.00 90.00 90.00°
Sites, in units of the cell vectors:
Os 0.000 0.000 0.000
Rb 0.500 0.500 0.500
In 0.000 0.500 0.000
In 0.000 0.000 0.500
In 0.500 0.000 0.000

No. 19
A relaxed structure of RbIn3Os, computed with PBE-GGA.

Summary:
DOS(E_F) = 7.26 states/eV/f.u.
Total energy = -1.852 eV per atom
Magnetization = 2.23 Bohr magnetons per cell
ΔE_f = 11.15 eV per formula unit

Cell: 6.013 6.013 6.013 Å, 90.00 90.00 90.00°
Last column: magnetic moment on the atom in μB.
Sites, in units of the cell vectors:
Os 0.500 0.500 0.500  2.75
Rb 0.000 0.000 0.000  -0.03
In 0.000 0.500 0.000  -0.07
In 0.000 0.000 0.500  -0.06
In 0.500 0.000 0.000  -0.07

No. 20
A relaxed structure of Rb2InSnOs, computed with PBE-GGA.

Summary:
DOS(E_F) = 6.15 states/eV/f.u.
Total energy = -2.529 eV per atom
Magnetization = 3.32 Bohr magnetons per cell
ΔE_f = 7.26 eV per formula unit

Cell: 6.916 5.456 6.916 Å, 90.00 90.00 90.00°
Last column: magnetic moment on the atom in μB.
Sites, in units of the cell vectors:
Os 0.500 0.500 0.500  2.86
Sn 0.000 0.500 0.000  -0.02
Rb 0.000 0.000 0.500  0.00
Rb 0.500 0.000 0.000  0.00
In 0.000 0.000 0.000  0.01